This record from the Alexandria database describes Cs2TeSe after structural relaxation. The functional is GGA-PBE.

a b c (Å): 5.8361 9.8874 6.7379
angles (deg): 90.00 101.27 90.00
Sites, in units of the cell vectors:
1 Cs 0.2336 0.0270 0.2432
2 Cs 0.2336 0.4730 0.2432
3 Cs 0.7664 0.5270 0.7568
4 Cs 0.7664 0.9730 0.7568
5 Te 0.3101 0.2500 0.7674
6 Te 0.6899 0.7500 0.2326
7 Se 0.3466 0.7500 0.9186
8 Se 0.6534 0.2500 0.0814

Calculated values
Electronic total energy = -2.966 eV/atom
Energy relative to the elements, uncorrected = -0.8823 eV per atom